No. 1
The following is a GGA-PBE calculation of BeCd2As after structural relaxation, from Alexandria.

Properties
Excess energy over the best structure of this formula in the dataset in eV per atom: 0.291
Calculated formation energy in eV per atom: 0.43
Density in g/cm³: 6.8
Symmetry: No. 139
E_tot in eV/atom: -2.117
Total magnetization in Bohr magnetons per cell: 0.000

```
4
Lattice="5.2797 0.0003 0.0000 2.0187 4.8786 0.0000 -3.6492 -2.4394 2.9339" Properties=species:S:1:pos:R:3 pbc="T T T"
Be 2.6399 0.0002 1.4670
As 1.0093 2.4393 1.4670
Cd 0.0000 0.0000 0.0000
Cd 3.6492 2.4394 0.0000
```

=====

No. 2
The following is a GGA-PBE calculation of ReTc2HW after structural relaxation, from Alexandria.

Properties
Excess energy over the best structure of this formula in the dataset in eV per atom: 0.000
Density in g/cm³: 15.1
Symmetry: No. 123
E_tot in eV/atom: -9.803
Total magnetization in Bohr magnetons per cell: 0.000

```
5
Lattice="3.9613 0.0000 0.0000 0.0000 3.9613 0.0000 0.0000 0.0000 3.9729" Properties=species:S:1:pos:R:3 pbc="T T T"
Re 0.0000 0.0000 1.9864
Tc 0.0000 1.9807 0.0000
Tc 1.9807 0.0000 0.0000
W 1.9807 1.9807 1.9864
H 0.0000 0.0000 0.0000
```

=====

No. 3
The following is a GGA-PBE calculation of BaAcSnO after structural relaxation, from Alexandria.

Properties
Density in g/cm³: 6.6
Symmetry: No. 44
E_tot in eV/atom: -5.356
Total magnetization in Bohr magnetons per cell: 0.001
Energy relative to the elements, uncorrected in eV/f.u.: -6.43

```
4
Lattice="3.9634 0.0000 0.0000 0.0000 4.1013 -0.0083 -1.9817 -2.0386 7.7532" Properties=species:S:1:pos:R:3 pbc="T T T"
Ba 1.9817 -0.1660 2.7290
Ac 1.9817 -0.1603 7.3182
Sn 0.0000 1.8871 5.0594
O 1.9817 1.8806 0.9247
```

=====

No. 4
The following is a GGA-PBE calculation of Na4CdSn3Se8 after structural relaxation, from Alexandria.

Properties
Density in g/cm³: 4.9
Symmetry: No. 166
E_tot in eV/atom: -3.578
Total magnetization in Bohr magnetons per cell: 0.000
Energy relative to the elements, uncorrected in eV/f.u.: -11.17

```
16
Lattice="8.1130 0.0000 0.0000 0.0000 8.5132 0.2717 -4.0565 -4.0522 5.7420" Properties=species:S:1:pos:R:3 pbc="T T T"
Na 4.0565 0.0000 0.0000
Na 2.0283 -2.0261 2.8710
Na 0.0000 0.0000 0.0000
Na -2.0283 -2.0261 2.8710
Cd 0.0000 4.2566 0.1358
Sn 4.0565 4.2566 0.1358
Sn 2.0283 2.2305 3.0068
Sn -2.0283 2.2305 3.0068
Se -2.0158 2.1858 5.8351
Se 0.0000 4.1978 2.9836
Se 0.0000 0.2205 3.0229
Se 2.0158 2.1858 5.8351
Se 2.0407 2.2752 0.1785
Se 4.0565 4.2405 2.9908
Se 4.0565 0.2632 3.0301
Se 6.0723 2.2752 0.1785
```

=====

Number 2 is which compound?
ReTc2HW

=====

What did the first record say?
The following is a GGA-PBE calculation of BeCd2As after structural relaxation, from Alexandria.

Properties
Excess energy over the best structure of this formula in the dataset in eV per atom: 0.291
Calculated formation energy in eV per atom: 0.43
Density in g/cm³: 6.8
Symmetry: No. 139
E_tot in eV/atom: -2.117
Total magnetization in Bohr magnetons per cell: 0.000

```
4
Lattice="5.2797 0.0003 0.0000 2.0187 4.8786 0.0000 -3.6492 -2.4394 2.9339" Properties=species:S:1:pos:R:3 pbc="T T T"
Be 2.6399 0.0002 1.4670
As 1.0093 2.4393 1.4670
Cd 0.0000 0.0000 0.0000
Cd 3.6492 2.4394 0.0000
```

=====

Which formula does entry 3 have?
BaAcSnO